# 1
Compound: Y2SbIr
Source: Alexandria
Functional: PBEsol
Structure: optimized geometry

Cell: 3.4204 3.4204 8.0974 Å, 90.00 90.00 90.00°
Sites, in units of the cell vectors:
Y: 0.0000 0.0000 0.0000
Y: 0.5000 0.5000 0.3571
Sb: 0.0000 0.0000 0.6139
Ir: 0.5000 0.5000 0.7798

- Formation energy (no corrections): -0.334 eV/atom
- Total moment: 0.00 μB per formula unit


# 2
Compound: Cs2LiYF6
Source: Alexandria
Functional: PBEsol
Structure: optimized geometry

Cell: 6.1720 6.1720 6.1720 Å, 60.00 60.00 60.00°
Sites, in units of the cell vectors:
Cs: 0.2500 0.2500 0.2500
Cs: 0.7500 0.7500 0.7500
Li: 0.0000 0.0000 0.0000
Y: 0.5000 0.5000 0.5000
F: 0.2508 0.2508 0.7492
F: 0.2508 0.7492 0.2508
F: 0.2508 0.7492 0.7492
F: 0.7492 0.2508 0.2508
F: 0.7492 0.2508 0.7492
F: 0.7492 0.7492 0.2508

- Formation energy (no corrections): -3.363 eV/atom
- Total moment: 0.00 μB per formula unit


# 3
Compound: Sr2InAg
Source: Alexandria
Functional: PBEsol
Structure: optimized geometry

Cell: 5.3138 5.3138 5.3138 Å, 119.90 119.90 90.18°
Sites, in units of the cell vectors:
Sr: 0.0000 0.0000 0.0000
Sr: 0.7500 0.2500 0.5000
In: 0.5000 0.5000 0.0000
Ag: 0.2500 0.7500 0.5000

- Calculated formation energy: -0.217 eV per atom
- Total moment: 0.00 μB per formula unit


# 4
Compound: Li2CoNi
Source: Alexandria
Functional: PBEsol
Structure: optimized geometry

Cell: 4.4531 4.4531 4.2442 Å, 98.90 98.90 31.57°
Sites, in units of the cell vectors:
Li: 0.2480 0.2480 0.2487
Li: 0.7520 0.7520 0.7513
Co: 0.0000 0.0000 0.5000
Ni: 0.5000 0.5000 0.0000

- Calculated formation energy: 0.105 eV per atom
- ΔE to the lowest computed polymorph: 0.020 eV per atom
- Total moment: 1.30 μB per formula unit


# 5
Compound: CoNi6Sb
Source: Alexandria
Functional: PBEsol
Structure: optimized geometry

Cell: 6.1814 6.1814 10.1527 Å, 90.00 90.00 109.56°
Sites, in units of the cell vectors:
Co: 0.0000 0.0000 0.2415
Co: 0.0000 0.0000 0.7585
Co: 0.2515 0.7485 0.0000
Co: 0.7485 0.2515 0.0000
Ni: 0.0000 0.0000 0.0000
Ni: 0.0000 0.0000 0.5000
Ni: 0.1139 0.3705 0.1191
Ni: 0.1139 0.3705 0.8809
Ni: 0.1189 0.3639 0.3682
Ni: 0.1189 0.3639 0.6318
Ni: 0.2444 0.7556 0.2397
Ni: 0.2444 0.7556 0.7603
Ni: 0.3639 0.1189 0.3682
Ni: 0.3639 0.1189 0.6318
Ni: 0.3705 0.1139 0.1191
Ni: 0.3705 0.1139 0.8809
Ni: 0.5000 0.5000 0.0000
Ni: 0.5000 0.5000 0.5000
Ni: 0.6295 0.8861 0.1191
Ni: 0.6295 0.8861 0.8809
Ni: 0.6361 0.8811 0.3682
Ni: 0.6361 0.8811 0.6318
Ni: 0.7556 0.2444 0.2397
Ni: 0.7556 0.2444 0.7603
Ni: 0.8811 0.6361 0.3682
Ni: 0.8811 0.6361 0.6318
Ni: 0.8861 0.6295 0.1191
Ni: 0.8861 0.6295 0.8809
Sb: 0.2524 0.7476 0.5000
Sb: 0.5000 0.5000 0.2442
Sb: 0.5000 0.5000 0.7558
Sb: 0.7476 0.2524 0.5000

- Formation energy (no corrections): -0.049 eV/atom
- Total moment: 3.89 μB per formula unit


# 6
Compound: Ba2SrSi
Source: Alexandria
Functional: PBEsol
Structure: optimized geometry

Cell: 6.4391 6.4391 6.4391 Å, 132.93 132.93 68.76°
Sites, in units of the cell vectors:
Ba: 0.0000 0.0000 0.0000
Ba: 0.7500 0.2500 0.5000
Sr: 0.2500 0.7500 0.5000
Si: 0.5000 0.5000 0.0000

- Formation energy (no corrections): 0.015 eV/atom
- Total moment: 0.00 μB per formula unit


- Which value of total moment does entry 4 give?
  1.30 μB per formula unit


- The highest total moment belongs to which entry?
  CoNi6Sb


- Look up the total moment of the fifth one.
  3.89 μB per formula unit


Repeat the second record exactly.
Compound: Cs2LiYF6
Source: Alexandria
Functional: PBEsol
Structure: optimized geometry

Cell: 6.1720 6.1720 6.1720 Å, 60.00 60.00 60.00°
Sites, in units of the cell vectors:
Cs: 0.2500 0.2500 0.2500
Cs: 0.7500 0.7500 0.7500
Li: 0.0000 0.0000 0.0000
Y: 0.5000 0.5000 0.5000
F: 0.2508 0.2508 0.7492
F: 0.2508 0.7492 0.2508
F: 0.2508 0.7492 0.7492
F: 0.7492 0.2508 0.2508
F: 0.7492 0.2508 0.7492
F: 0.7492 0.7492 0.2508

- Formation energy (no corrections): -3.363 eV/atom
- Total moment: 0.00 μB per formula unit